Below is a relaxed structure of KSr2I5, with properties calculated at the PBEsol level.

## Properties
For the total energy, the calculation gives -0.12301 Ha/atom. The calculation puts the formation energy without anion corrections at -37.85 kcal/mol of atoms.

```
KSr2I5
1.0
9.873 0.000 0.000
0.000 8.868 0.000
-0.004 0.000 14.183
K Sr I
4 8 20
direct
0.006 0.042 0.172 K
0.006 0.458 0.672 K
0.994 0.542 0.328 K
0.994 0.958 0.828 K
0.249 0.575 0.006 Sr
0.249 0.925 0.506 Sr
0.497 0.526 0.320 Sr
0.497 0.974 0.820 Sr
0.503 0.026 0.180 Sr
0.503 0.474 0.680 Sr
0.751 0.075 0.494 Sr
0.751 0.425 0.994 Sr
0.040 0.172 0.409 I
0.040 0.328 0.909 I
0.266 0.692 0.782 I
0.266 0.808 0.282 I
0.278 0.168 0.682 I
0.278 0.332 0.182 I
0.278 0.540 0.502 I
0.278 0.960 0.002 I
0.458 0.163 0.401 I
0.458 0.337 0.901 I
0.542 0.663 0.099 I
0.542 0.837 0.599 I
0.722 0.040 0.998 I
0.722 0.460 0.498 I
0.722 0.668 0.818 I
0.722 0.832 0.318 I
0.734 0.192 0.718 I
0.734 0.308 0.218 I
0.960 0.672 0.091 I
0.960 0.828 0.591 I
```

***

Below is a relaxed structure of KSr2I2, with properties calculated at the PBEsol level.

## Properties
For the total energy, the calculation gives -0.09387 Ha/atom. The calculation puts the formation energy without anion corrections at -20.40 kcal/mol of atoms. The excess energy over the best structure of this formula in the dataset comes out at 0.0 meV per atom.

```
KSr2I2
1.0
-2.853 2.853 7.620
2.853 -2.853 7.620
2.853 2.853 -7.620
K Sr I
1 2 2
direct
0.000 0.000 0.000 K
0.368 0.368 0.000 Sr
0.632 0.632 0.000 Sr
0.250 0.750 0.500 I
0.750 0.250 0.500 I
```

***

Below is a relaxed structure of KSrI3, with properties calculated at the PBEsol level.

## Properties
For the total energy, the calculation gives -0.11941 Ha/atom. The calculation puts the formation energy without anion corrections at -36.77 kcal/mol of atoms.

```
KSrI3
1.0
2.336 -7.603 0.000
2.336 7.603 0.000
0.000 0.000 11.858
K Sr I
2 2 6
direct
0.250 0.750 0.750 K
0.750 0.250 0.250 K
0.000 0.000 0.000 Sr
0.000 0.000 0.500 Sr
0.082 0.918 0.250 I
0.359 0.641 0.062 I
0.359 0.641 0.438 I
0.641 0.359 0.562 I
0.641 0.359 0.938 I
0.918 0.082 0.750 I
```

***

Repeat the third record exactly.
Below is a relaxed structure of KSrI3, with properties calculated at the PBEsol level.

## Properties
For the total energy, the calculation gives -0.11941 Ha/atom. The calculation puts the formation energy without anion corrections at -36.77 kcal/mol of atoms.

```
KSrI3
1.0
2.336 -7.603 0.000
2.336 7.603 0.000
0.000 0.000 11.858
K Sr I
2 2 6
direct
0.250 0.750 0.750 K
0.750 0.250 0.250 K
0.000 0.000 0.000 Sr
0.000 0.000 0.500 Sr
0.082 0.918 0.250 I
0.359 0.641 0.062 I
0.359 0.641 0.438 I
0.641 0.359 0.562 I
0.641 0.359 0.938 I
0.918 0.082 0.750 I
```

***

Copy entry 2 word for word.
Below is a relaxed structure of KSr2I2, with properties calculated at the PBEsol level.

## Properties
For the total energy, the calculation gives -0.09387 Ha/atom. The calculation puts the formation energy without anion corrections at -20.40 kcal/mol of atoms. The excess energy over the best structure of this formula in the dataset comes out at 0.0 meV per atom.

```
KSr2I2
1.0
-2.853 2.853 7.620
2.853 -2.853 7.620
2.853 2.853 -7.620
K Sr I
1 2 2
direct
0.000 0.000 0.000 K
0.368 0.368 0.000 Sr
0.632 0.632 0.000 Sr
0.250 0.750 0.500 I
0.750 0.250 0.500 I
```